DFT (PBE) results for GdErCu2Sn after structural relaxation.

Results
Size of the total moment ... 0.00 μB per atom
Calculated total energy ... -23.0 eV/cell

```
GdErCu2Sn
1.0
3.600 0.000 0.000
0.000 2.145 6.863
0.000 -2.145 6.863
Gd Er Cu Sn
1 1 2 1
Cartesian
0.000 0.000 0.000
0.000 0.000 3.596
1.800 0.000 5.862
1.800 0.000 11.404
1.800 0.000 8.673
```